P.
VASP calculation (PBE) on crystalline CeSmPd at its relaxed geometry.

```
3
Lattice="-2.004 3.080 0.064 -1.417 -0.853 -3.282 -2.496 -3.902 4.149" Properties=species:S:1:pos:R:3 pbc="T T T"
Ce -2.600 -1.724 1.570
Pd -3.191 0.132 -0.714
Sm -0.125 -0.083 0.075
```

D(E_F) ... 5.4 states/eV/cell

Q.
VASP calculation (PBE) on crystalline CeSmPd at its relaxed geometry.

```
6
Lattice="5.571 -0.425 -1.780 -3.070 4.745 1.577 -2.613 -1.066 6.544" Properties=species:S:1:pos:R:3 pbc="T T T"
Sm 3.007 1.166 0.401
Sm -3.119 2.088 5.940
Ce -0.356 3.332 5.015
Ce 0.244 -0.078 1.326
Pd -0.405 0.426 4.073
Pd 0.293 2.828 2.268
```

D(E_F) ... 10.0 states/eV/cell

R.
VASP calculation (PBE) on crystalline CeSmPd at its relaxed geometry.

```
3
Lattice="3.733 0.000 0.000 0.000 4.794 0.000 0.000 -2.397 4.152" Properties=species:S:1:pos:R:3 pbc="T T T"
Pd 1.218 0.000 2.768
Ce 0.108 0.000 0.000
Sm 2.407 2.397 1.384
```

D(E_F) ... 5.6 states/eV/cell

S.
VASP calculation (PBE) on crystalline CeSmPd at its relaxed geometry.

```
3
Lattice="4.974 0.000 0.000 2.487 4.308 0.000 2.487 1.436 4.061" Properties=species:S:1:pos:R:3 pbc="T T T"
Pd 2.487 1.436 1.015
Sm 0.000 0.000 0.000
Ce 4.974 2.872 2.031
```

D(E_F) ... 9.6 states/eV/cell

Computed relative energies in units of meV per atom: P 5; Q 0; R 121; S 134

P.
VASP calculation (PBE) on crystalline CeSn2Pd3 at its relaxed geometry.

```
12
Lattice="-1.401 4.456 0.373 -0.692 -0.308 -4.625 -9.693 -5.605 3.968" Properties=species:S:1:pos:R:3 pbc="T T T"
Pd -7.820 -0.153 -0.965
Pd -8.979 -4.440 0.088
Pd -2.385 0.147 -3.348
Pd -9.401 -1.604 3.063
Pd -3.967 -1.304 0.680
Pd -2.807 2.983 -0.373
Ce -7.592 -2.496 1.302
Ce -4.195 1.039 -1.586
Sn -0.578 1.146 -1.174
Sn -6.071 0.463 1.107
Sn -5.716 -1.919 -1.392
Sn -1.515 3.003 -3.078
```

D(E_F) ... 11.4 states/eV/cell

Q.
VASP calculation (PBE) on crystalline CeSn2Pd3 at its relaxed geometry.

```
18
Lattice="4.320 0.000 0.000 -2.160 8.483 -2.639 0.000 0.026 10.361" Properties=species:S:1:pos:R:3 pbc="T T T"
Sn 0.000 3.291 0.328
Sn 0.000 7.745 -0.109
Sn 2.160 2.342 3.953
Sn 2.160 0.764 7.830
Sn 0.000 6.167 3.769
Sn 2.160 5.218 7.394
Ce 2.160 5.696 1.283
Ce 0.000 0.000 0.000
Ce 0.000 2.813 6.439
Pd 0.000 0.753 3.102
Pd 0.000 5.379 -1.334
Pd 2.160 3.130 9.056
Pd 2.160 0.013 5.180
Pd 0.000 3.665 2.967
Pd 2.160 7.756 4.620
Pd 2.160 1.831 1.296
Pd 0.000 6.678 6.426
Pd 2.160 4.844 4.755
```

D(E_F) ... 23.5 states/eV/cell

Computed relative energies in units of meV per atom: P 143; Q 0

P.
VASP calculation (PBE) on crystalline Ce2Sn3Pd at its relaxed geometry.

```
6
Lattice="4.023 0.000 0.000 0.000 4.830 0.000 0.000 0.000 8.102" Properties=species:S:1:pos:R:3 pbc="T T T"
Sn 2.011 2.415 5.266
Sn 2.011 0.000 6.764
Sn 2.011 0.000 1.490
Pd 2.011 2.415 2.609
Ce 0.000 2.415 0.070
Ce 0.000 0.000 4.056
```

D(E_F) ... 14.4 states/eV/cell

Q.
VASP calculation (PBE) on crystalline Ce2Sn3Pd at its relaxed geometry.

```
6
Lattice="4.379 0.000 1.834 1.876 5.637 1.664 -0.022 0.110 6.198" Properties=species:S:1:pos:R:3 pbc="T T T"
Pd 1.478 2.224 2.616
Sn 2.134 4.508 7.194
Sn 4.926 3.442 6.672
Sn 3.995 1.337 2.749
Ce 3.440 4.592 4.075
Ce 2.725 1.139 5.783
```

D(E_F) ... 12.9 states/eV/cell

Computed relative energies in units of meV per atom: P 52; Q 0

P.
VASP calculation (PBE) on crystalline SrCePd at its relaxed geometry.

```
3
Lattice="-1.482 3.361 0.410 -1.093 -0.898 3.415 7.114 1.037 0.549" Properties=species:S:1:pos:R:3 pbc="T T T"
Sr 0.308 0.120 0.130
Pd 0.848 2.063 2.814
Ce 3.383 1.317 1.429
```

D(E_F) ... 6.2 states/eV/cell

Q.
VASP calculation (PBE) on crystalline SrCePd at its relaxed geometry.

```
18
Lattice="7.519 0.000 0.000 -3.760 8.329 0.973 0.000 5.514 8.872" Properties=species:S:1:pos:R:3 pbc="T T T"
Sr 4.018 7.352 4.655
Sr 0.258 6.492 5.190
Sr 4.017 10.109 9.092
Sr 5.037 4.136 6.654
Sr 1.278 9.708 3.191
Sr 0.258 3.735 0.754
Pd 5.614 7.368 7.720
Pd 1.873 1.379 2.218
Pd 1.855 6.476 2.125
Pd 1.855 9.233 6.561
Pd 5.614 4.611 3.284
Pd -1.887 12.464 7.628
Ce 2.706 4.051 3.632
Ce -1.054 7.036 1.777
Ce -1.054 9.792 6.213
Ce 0.147 2.757 4.436
Ce 2.706 6.808 8.068
Ce 0.147 0.000 0.000
```

D(E_F) ... 39.1 states/eV/cell

Computed relative energies in units of meV per atom: P 33; Q 0

P.
VASP calculation (PBE) on crystalline TbCePd4 at its relaxed geometry.

```
12
Lattice="-1.848 3.548 -1.255 -5.162 -2.615 0.209 -0.113 1.031 10.086" Properties=species:S:1:pos:R:3 pbc="T T T"
Tb -2.680 2.379 3.666
Tb -4.444 -0.413 5.374
Pd -0.359 0.801 2.794
Pd -4.289 2.418 6.146
Pd -4.757 0.435 8.234
Pd -2.581 -1.307 0.105
Pd -6.765 1.164 6.247
Pd -2.366 1.530 0.806
Pd -2.835 -0.453 2.894
Pd 0.000 0.000 0.000
Ce -2.164 1.709 8.019
Ce -4.959 0.256 1.021
```

D(E_F) ... 13.0 states/eV/cell

Q.
VASP calculation (PBE) on crystalline TbCePd4 at its relaxed geometry.

```
6
Lattice="-2.677 -4.776 0.153 -0.561 -2.674 4.747 -4.911 -0.310 2.405" Properties=species:S:1:pos:R:3 pbc="T T T"
Pd -5.092 -4.849 4.564
Pd -4.812 -3.514 2.194
Pd -3.755 -2.465 4.487
Pd -2.640 -4.694 3.364
Ce 0.000 0.000 0.000
Tb -2.037 -1.940 1.826
```

D(E_F) ... 7.7 states/eV/cell

Computed relative energies in units of meV per atom: P 0; Q 78

P.
VASP calculation (PBE) on crystalline Ce2TePd at its relaxed geometry.

```
4
Lattice="3.779 0.000 0.000 0.000 3.779 0.000 0.000 0.000 7.192" Properties=species:S:1:pos:R:3 pbc="T T T"
Ce 0.000 0.000 1.649
Ce 0.000 0.000 5.543
Te 1.889 1.889 3.596
Pd 1.889 1.889 0.000
```

D(E_F) ... 12.7 states/eV/cell

Q.
VASP calculation (PBE) on crystalline Ce2TePd at its relaxed geometry.

```
4
Lattice="4.215 0.000 0.000 2.107 3.650 0.000 2.107 1.217 7.561" Properties=species:S:1:pos:R:3 pbc="T T T"
Ce 6.322 3.650 5.898
Ce 2.107 1.217 1.663
Te 4.215 2.433 3.781
Pd 0.000 0.000 0.000
```

D(E_F) ... 13.7 states/eV/cell

Computed relative energies in units of meV per atom: P 67; Q 0

P.
VASP calculation (PBE) on crystalline Ce2ThPd at its relaxed geometry.

```
4
Lattice="3.585 0.000 0.000 0.000 3.585 0.000 0.000 0.000 8.083" Properties=species:S:1:pos:R:3 pbc="T T T"
Ce 0.000 0.000 6.346
Ce 0.000 0.000 1.737
Pd 1.793 1.793 0.000
Th 1.793 1.793 4.042
```

D(E_F) ... 6.9 states/eV/cell

Q.
VASP calculation (PBE) on crystalline Ce2ThPd at its relaxed geometry.

```
4
Lattice="3.606 0.000 0.000 1.803 3.123 0.000 1.803 1.041 9.762" Properties=species:S:1:pos:R:3 pbc="T T T"
Ce 1.803 1.041 7.725
Ce 1.803 1.041 2.046
Pd 5.409 3.123 9.732
Th 3.606 2.082 4.903
```

D(E_F) ... 9.1 states/eV/cell

R.
VASP calculation (PBE) on crystalline Ce2ThPd at its relaxed geometry.

```
4
Lattice="-0.328 -2.912 -1.640 2.567 -1.216 -1.792 4.346 -6.735 7.650" Properties=species:S:1:pos:R:3 pbc="T T T"
Th 3.292 -5.431 2.109
Ce 3.474 -5.437 5.520
Ce 3.111 -5.426 -1.301
Pd 0.000 0.000 0.000
```

D(E_F) ... 8.6 states/eV/cell

Computed relative energies in units of meV per atom: P 0; Q 169; R 394

P.
VASP calculation (PBE) on crystalline Ce2TiPd at its relaxed geometry.

```
4
Lattice="3.688 0.000 0.000 0.000 3.688 0.000 0.000 0.000 6.873" Properties=species:S:1:pos:R:3 pbc="T T T"
Pd 1.844 1.844 0.000
Ce 0.000 0.000 5.251
Ce 0.000 0.000 1.621
Ti 1.844 1.844 3.436
```

D(E_F) ... 8.8 states/eV/cell

Q.
VASP calculation (PBE) on crystalline Ce2TiPd at its relaxed geometry.

```
4
Lattice="2.995 0.000 0.000 1.497 2.594 0.000 1.497 0.865 10.546" Properties=species:S:1:pos:R:3 pbc="T T T"
Ce 1.497 0.865 7.819
Ce 4.492 2.594 2.726
Pd 2.995 1.729 5.273
Ti 0.000 0.000 0.000
```

D(E_F) ... 7.5 states/eV/cell

Computed relative energies in units of meV per atom: P 0; Q 153